## CrPt2Rh9 (PBE-GGA)

Data for a relaxed structure of CrPt2Rh9.

Structure (POSCAR):
```
CrPt2Rh9
1.0
-3.0905 -0.2929 -2.2659
-1.4726 -2.6589 2.3523
-5.2592 8.3087 6.0991
Rh Pt Cr
9 2 1
Cartesian
-5.1544 5.6504 6.2998 Rh
-3.3659 2.8249 4.2257 Rh
-4.1749 4.0079 1.9166 Rh
-2.3864 1.1824 -0.1575 Rh
-2.2816 -1.4759 0.0432 Rh
-5.8068 4.0933 4.1313 Rh
-4.0156 1.2636 2.0541 Rh
-5.9633 6.8334 3.9907 Rh
-1.5774 -0.0006 2.1516 Rh
-3.5042 5.5360 4.0637 Pt
-1.7550 2.7727 2.0353 Pt
0.0000 0.0000 0.0000 Cr
```

## Properties
Energy relative to the elements ... -68 meV per atom
SG ... P4/mmm (123)

---

## CrPtRh4 (PBE-GGA)

Data for a relaxed structure of CrPtRh4.

Structure (POSCAR):
```
CrPtRh4
1.0
2.7010 -0.1069 0.0001
0.1505 3.8024 0.0001
-0.0002 -0.0002 8.1754
Cr Rh Pt
1 4 1
Cartesian
1.4257 1.8477 4.0878 Cr
1.4257 1.8476 6.7317 Rh
1.4256 1.8477 1.4439 Rh
2.8513 3.6954 2.8109 Rh
0.0000 -0.0001 5.3647 Rh
0.0000 0.0000 0.0000 Pt
```

## Properties
Excess energy over the best structure of this formula in the dataset ... 0 meV per atom
Energy relative to the elements ... -56 meV per atom
SG ... Pmmm (47)

---

## CrPt2Rh (PBE-GGA)

Data for a relaxed structure of CrPt2Rh.

Structure (POSCAR):
```
CrPt2Rh
1.0
-3.5809 0.7936 1.1568
-0.7745 -2.5637 -0.6388
0.5036 -4.2149 4.4505
Rh Pt Cr
1 2 1
Cartesian
-1.8582 -1.2979 1.5313 Rh
0.4955 -4.2061 4.4193 Pt
-0.1273 -3.3981 1.9371 Pt
-1.9936 -4.6872 3.4372 Cr
```

## Properties
Energy relative to the elements ... -149 meV per atom
SG ... Pmmm (47)

---

## CrPt14Rh (PBE-GGA)

Data for a relaxed structure of CrPt14Rh.

Structure (POSCAR):
```
CrPt14Rh
1.0
5.6134 -0.0119 0.0000
0.0119 5.6134 0.0000
0.0000 0.0000 7.8219
Pt Rh Cr
14 1 1
Cartesian
3.5257 3.5107 2.0035 Pt
3.5199 0.6842 5.8184 Pt
4.9162 2.0946 3.9109 Pt
0.6933 0.6904 2.0035 Pt
2.1095 2.1005 0.0000 Pt
2.1155 4.9073 0.0000 Pt
2.1155 4.9072 3.9109 Pt
3.5257 3.5107 5.8184 Pt
0.6991 3.5170 2.0035 Pt
4.9222 4.9013 0.0000 Pt
3.5199 0.6842 2.0035 Pt
4.9162 2.0946 0.0000 Pt
0.6933 0.6904 5.8184 Pt
0.6991 3.5170 5.8184 Pt
2.1095 2.1005 3.9109 Rh
4.9222 4.9013 3.9109 Cr
```

## Properties
Energy relative to the elements ... -80 meV per atom
SG ... P4/mmm (123)

---

## CrPt2Rh (PBE-GGA)

Data for a relaxed structure of CrPt2Rh.

Structure (POSCAR):
```
CrPt2Rh
1.0
4.4068 0.0000 0.0000
2.2034 3.8164 0.0000
2.2034 1.2721 3.5981
Pt Rh Cr
2 1 1
Cartesian
6.6102 3.8164 2.6986 Pt
0.0000 0.0000 0.0000 Pt
2.2034 1.2721 0.8995 Rh
4.4068 2.5443 1.7991 Cr
```

## Properties
Energy relative to the elements ... 51 meV per atom
SG ... F-43m (216)

---

## CrPt6Rh2 (PBE-GGA)

Data for a relaxed structure of CrPt6Rh2.

Structure (POSCAR):
```
CrPt6Rh2
1.0
0.4112 5.1311 -0.9873
-5.8265 0.4672 6.2824
0.7058 0.3788 8.5436
Rh Pt Cr
4 12 2
Cartesian
-2.8625 5.2881 10.1421 Rh
-4.0979 2.7365 10.2793 Rh
-0.6116 3.2407 3.5594 Rh
-1.8469 0.6891 3.6966 Rh
0.5049 3.5585 6.2698 Pt
0.2135 0.6977 5.5507 Pt
-0.3175 4.9208 8.6991 Pt
-4.3919 1.0564 5.1396 Pt
-1.9834 2.2303 5.8977 Pt
-3.3763 3.3146 3.7432 Pt
-2.8818 1.1807 8.4519 Pt
-1.3332 2.6626 10.0954 Pt
-2.7260 3.7469 7.9409 Pt
-5.2144 2.4187 7.5688 Pt
-4.9229 5.2795 8.2880 Pt
-1.8277 4.7965 5.3868 Pt
-0.3183 1.6769 7.9067 Cr
-4.3911 4.3003 5.9320 Cr
```

## Properties
Excess energy over the best structure of this formula in the dataset ... 0 meV per atom
Energy relative to the elements ... 61 meV per atom
SG ... C2/c (15)

---

## CrPt2Rh2 (PBE-GGA)

Data for a relaxed structure of CrPt2Rh2.

Structure (POSCAR):
```
CrPt2Rh2
1.0
-3.8313 1.2890 1.1306
0.5203 -2.1693 -3.5556
-1.4127 -8.6416 5.0656
Rh Pt Cr
4 4 2
Cartesian
-2.9178 -3.1484 1.4939 Rh
-1.8060 -6.3735 1.1466 Rh
-2.1736 -8.6220 2.4646 Rh
-2.5502 -0.8999 0.1759 Rh
0.0000 0.0000 0.0000 Pt
-1.2834 -3.1769 -0.7272 Pt
-3.4403 -6.3450 3.3677 Pt
-0.7063 -4.3208 2.5328 Pt
-1.0595 -6.4812 3.7992 Cr
-0.3532 -2.1604 1.2664 Cr
```

## Properties
Energy relative to the elements ... 161 meV per atom
SG ... P6_3/mmc (194)

---

## CrPt6Rh2 (PBE-GGA)

Data for a relaxed structure of CrPt6Rh2.

Structure (POSCAR):
```
CrPt6Rh2
1.0
2.7404 0.0000 0.0000
0.0000 7.6534 0.0000
0.0000 -3.8267 6.6280
Pt Rh Cr
6 2 1
Cartesian
2.1469 -2.5713 4.4535 Pt
2.1469 1.2554 2.1745 Pt
0.5935 2.5713 4.4535 Pt
2.1469 5.1425 0.0000 Pt
0.5935 2.5108 0.0000 Pt
0.5935 -1.2554 2.1745 Pt
1.3702 0.0000 4.4187 Rh
1.3702 3.8267 2.2093 Rh
0.0000 0.0000 0.0000 Cr
```

## Properties
Excess energy over the best structure of this formula in the dataset ... 22 meV per atom
Energy relative to the elements ... 83 meV per atom
SG ... P-31m (162)

---

## Cr2PtRh2 (PBE-GGA)

Data for a relaxed structure of Cr2PtRh2.

Structure (POSCAR):
```
Cr2PtRh2
1.0
7.1329 0.0000 0.0000
0.0000 7.1329 0.0000
0.0000 0.0000 2.7157
Rh Pt Cr
4 2 4
Cartesian
4.8123 5.8871 1.3578 Rh
5.8871 2.3206 1.3578 Rh
1.2458 4.8123 1.3578 Rh
2.3206 1.2458 1.3578 Rh
3.5664 3.5664 0.0000 Pt
0.0000 0.0000 0.0000 Pt
4.3838 0.8173 0.0000 Cr
2.7491 6.3155 0.0000 Cr
6.3155 4.3838 0.0000 Cr
0.8173 2.7491 0.0000 Cr
```

## Properties
Excess energy over the best structure of this formula in the dataset ... 60 meV per atom
Energy relative to the elements ... 30 meV per atom
SG ... P4/mbm (127)

---

## CrPt4Rh2 (PBE-GGA)

Data for a relaxed structure of CrPt4Rh2.

Structure (POSCAR):
```
CrPt4Rh2
1.0
2.7354 0.0000 0.0000
-1.3677 8.5701 0.0000
0.0000 0.0000 9.6064
Rh Pt Cr
4 8 2
Cartesian
1.3677 6.3266 5.8603 Rh
1.3677 6.3266 8.5493 Rh
0.0000 2.2435 3.7461 Rh
0.0000 2.2435 1.0571 Rh
1.3677 0.0000 0.0000 Pt
1.3677 0.0000 4.8032 Pt
0.0000 3.9333 5.9047 Pt
1.3677 8.5321 2.4016 Pt
1.3677 4.6368 1.1015 Pt
0.0000 3.9333 8.5050 Pt
1.3677 4.6368 3.7017 Pt
0.0000 0.0380 7.2048 Pt
1.3677 2.1399 7.2048 Cr
0.0000 6.4303 2.4016 Cr
```

## Properties
Energy relative to the elements ... 147 meV per atom
SG ... Cmcm (63)

---

## CrPtRh2 (PBE-GGA)

Data for a relaxed structure of CrPtRh2.

Structure (POSCAR):
```
CrPtRh2
1.0
6.8257 0.0000 0.0000
0.0000 6.8257 0.0000
3.4128 3.4128 2.6222
Pt Rh Cr
2 4 2
Cartesian
0.0000 0.0000 0.0000 Pt
6.8257 3.4128 1.3111 Pt
2.0294 5.1193 0.6556 Rh
5.1193 5.4423 1.9667 Rh
4.7963 1.7064 0.6556 Rh
8.5321 8.2091 1.9667 Rh
3.4128 3.4128 0.0000 Cr
3.4128 6.8257 1.3111 Cr
```

## Properties
Energy relative to the elements ... 243 meV per atom
SG ... I-42d (122)

---

## CrPtRh2 (PBE-GGA)

Data for a relaxed structure of CrPtRh2.

Structure (POSCAR):
```
CrPtRh2
1.0
3.8311 0.0000 0.0000
0.0000 3.8311 0.0000
-1.9155 -1.9155 3.8448
Cr Rh Pt
1 2 1
Cartesian
0.0000 0.0000 0.0000 Cr
1.9155 0.0000 1.9224 Rh
1.9155 1.9155 0.0000 Rh
0.0000 1.9155 1.9224 Pt
```

## Properties
Energy relative to the elements ... -142 meV per atom
SG ... I-4m2 (119)

---

no.,total energy (eV per formula unit),M_tot (Bohr magnetons per cell)
1,-88.7,0.67
2,-45.4,0.20
3,-29.7,1.45
4,-102.8,0.91
5,-28.9,2.79
6,-60.0,3.47
7,-35.6,0.84
8,-59.8,2.58
9,-39.8,0.00
10,-47.5,2.45
11,-29.4,0.00
12,-30.9,1.38